Compound: TbTm2TaN4
Source: Alexandria via LeMat-Bulk
Functional: GGA-PBE
Structure: optimized geometry

abc: 5.7625 3.3216 5.7859
angles: 90.00 109.14 90.00
Closest atoms and distances in Å follow each position.
Space group P2/m (No. 10)
Symmetry-distinct sites (fractional):
Tb: 0.0000 0.0000 0.0000 x1  6 N 2.38-2.39
Tm: 0.5000 0.0000 0.5000 x1  6 N 2.33-2.34
Tm: 0.5000 0.5000 0.0000 x1  6 N 2.44-2.48
Ta: 0.0000 0.5000 0.5000 x1  6 N 2.23-2.28
N: 0.2350 0.0000 0.7300 x2  2 Ta 2.28, 3 Tm 2.33-2.44, 1 Tb 2.38
N: 0.2420 0.5000 0.2681 x2  1 Ta 2.23, 3 Tm 2.34-2.48, 2 Tb 2.39

Values from the calculation:
Calculated volume   104.6 Å³/cell
Formation energy without anion corrections   -1.58 eV/atom